Entry 1:
La3Pm6YHo2: optimized geometry, PBE.

a b c (Å): 6.3256 6.3256 12.0893
angles (deg): 95.02 95.02 120.05
Positions (direct):
La  0.0000  0.0000  0.0000
La  0.3330  0.6670  0.0000
La  0.6670  0.3330  0.0000
Pm  0.0843  0.4186  0.2562
Pm  0.2471  0.2471  0.7439
Pm  0.4186  0.0843  0.2562
Pm  0.5814  0.9157  0.7438
Pm  0.7529  0.7529  0.2561
Pm  0.9157  0.5814  0.7438
Y  0.5000  0.5000  0.5000
Ho  0.1666  0.8334  0.5000
Ho  0.8334  0.1666  0.5000

Calculated values
- Calculated formation energy: 0.02 eV/atom
- Electronic total energy: -4.888 eV per atom
- ρ: 6.870 g/cm³

***

Entry 2:
La5PmYHo2: optimized geometry, PBE.

a b c (Å): 11.2561 11.2561 10.6727
angles (deg): 90.00 90.00 151.65
Positions (direct):
La  0.0002  0.9998  0.0000
La  0.9998  0.0002  0.5000
La  0.1227  0.8773  0.7503
La  0.2207  0.7793  0.4414
La  0.2215  0.7785  0.0607
La  0.4995  0.5005  0.2501
La  0.5005  0.4995  0.7501
La  0.7785  0.2215  0.5607
La  0.7793  0.2207  0.9414
La  0.8773  0.1227  0.2503
Pm  0.2858  0.7141  0.7509
Pm  0.7141  0.2858  0.2509
Y  0.1004  0.8996  0.2501
Y  0.8996  0.1004  0.7501
Ho  0.3870  0.6130  0.5024
Ho  0.3876  0.6124  0.9978
Ho  0.6124  0.3876  0.4978
Ho  0.6130  0.3870  0.0024

Calculated values
- Calculated formation energy: 0.13 eV/atom
- Electronic total energy: -4.873 eV per atom
- ρ: 6.507 g/cm³

***

Entry 3:
LaPm2Y2Ho: optimized geometry, PBE.

a b c (Å): 6.6524 17.9350 3.4249
angles (deg): 90.00 90.00 90.00
Positions (direct):
La  0.0000  0.0000  0.0000
La  0.5000  0.5000  0.5000
Pm  0.2199  0.3513  0.5000
Pm  0.2801  0.8513  0.0000
Pm  0.7199  0.1487  0.0000
Pm  0.7801  0.6487  0.5000
Y  0.2239  0.1835  0.0000
Y  0.2761  0.6835  0.5000
Y  0.7239  0.3165  0.5000
Y  0.7761  0.8165  0.0000
Ho  0.0000  0.5000  0.0000
Ho  0.5000  0.0000  0.5000

Calculated values
- Calculated formation energy: 0.25 eV/atom
- Electronic total energy: -5.072 eV per atom
- ρ: 6.271 g/cm³

***

Entry 4:
LaPm6Y3Ho2: optimized geometry, PBE.

a b c (Å): 6.2762 6.2762 11.9568
angles (deg): 95.01 95.01 120.00
Positions (direct):
La  0.0000  0.0000  0.0000
Pm  0.0842  0.4188  0.2511
Pm  0.2503  0.2503  0.7487
Pm  0.4188  0.0842  0.2511
Pm  0.5812  0.9158  0.7489
Pm  0.7497  0.7497  0.2513
Pm  0.9158  0.5812  0.7489
Y  0.1672  0.8328  0.5000
Y  0.5000  0.5000  0.5000
Y  0.8328  0.1672  0.5000
Ho  0.3335  0.6665  0.0000
Ho  0.6665  0.3335  0.0000

Calculated values
- Calculated formation energy: 0.02 eV/atom
- Electronic total energy: -5.148 eV per atom
- ρ: 6.638 g/cm³

***

Entry 5:
La2PmY2Ho2: optimized geometry, PBE.

a b c (Å): 6.2652 6.2652 8.1273
angles (deg): 97.55 97.55 48.22
Positions (direct):
La  0.1411  0.1411  0.4269
La  0.8589  0.8589  0.5731
Pm  0.0000  0.0000  0.0000
Y  0.2844  0.2844  0.8607
Y  0.7156  0.7156  0.1393
Ho  0.4294  0.4294  0.2830
Ho  0.5706  0.5706  0.7170

Calculated values
- Calculated formation energy: 0.03 eV/atom
- Electronic total energy: -5.212 eV per atom
- ρ: 6.564 g/cm³

***

Entry 6:
La2PmY2Ho: optimized geometry, PBE.

a b c (Å): 6.7924 17.8195 3.4069
angles (deg): 90.00 90.00 90.00
Positions (direct):
La  0.2449  0.1529  0.0000
La  0.2551  0.6529  0.5000
La  0.7449  0.3471  0.5000
La  0.7551  0.8471  0.0000
Pm  0.0000  0.0000  0.5000
Pm  0.5000  0.5000  0.0000
Y  0.2483  0.8274  0.0000
Y  0.2517  0.3274  0.5000
Y  0.7483  0.6726  0.5000
Y  0.7517  0.1726  0.0000
Ho  0.0000  0.5000  0.5000
Ho  0.5000  0.0000  0.0000

Calculated values
- Calculated formation energy: 0.25 eV/atom
- Electronic total energy: -5.105 eV per atom
- ρ: 6.166 g/cm³

***

Entry 7:
La3Pm2Y6Ho: optimized geometry, PBE.

a b c (Å): 6.2904 6.2904 11.9213
angles (deg): 95.04 95.04 120.01
Positions (direct):
La  0.0000  0.0000  0.0000
La  0.3331  0.6669  0.0000
La  0.6669  0.3331  0.0000
Pm  0.1665  0.8335  0.5000
Pm  0.8335  0.1665  0.5000
Y  0.0852  0.4181  0.2537
Y  0.2492  0.2492  0.7465
Y  0.4181  0.0852  0.2537
Y  0.5819  0.9148  0.7463
Y  0.7508  0.7508  0.2535
Y  0.9148  0.5819  0.7463
Ho  0.5000  0.5000  0.5000

Calculated values
- Calculated formation energy: 0.01 eV/atom
- Electronic total energy: -5.623 eV per atom
- ρ: 5.802 g/cm³

***

Entry 8:
La3Pm6Y2Ho: optimized geometry, PBE.

a b c (Å): 6.3323 6.3323 12.1016
angles (deg): 95.02 95.02 120.05
Positions (direct):
La  0.0000  0.0000  0.0000
La  0.3334  0.6666  0.0000
La  0.6666  0.3334  0.0000
Pm  0.0861  0.4186  0.2556
Pm  0.2490  0.2490  0.7444
Pm  0.4186  0.0861  0.2556
Pm  0.5814  0.9139  0.7444
Pm  0.7510  0.7510  0.2556
Pm  0.9139  0.5814  0.7444
Y  0.1667  0.8333  0.5000
Y  0.8333  0.1667  0.5000
Ho  0.5000  0.5000  0.5000

Calculated values
- Calculated formation energy: 0.02 eV/atom
- Electronic total energy: -5.047 eV per atom
- ρ: 6.543 g/cm³

***

Entry 9:
La6Pm2YHo: optimized geometry, PBE.

a b c (Å): 6.7578 6.7578 9.2554
angles (deg): 105.00 105.00 62.59
Positions (direct):
La  0.0708  0.5356  0.1972
La  0.1277  0.1277  0.4206
La  0.4644  0.9292  0.8028
La  0.5356  0.0708  0.1972
La  0.8723  0.8723  0.5794
La  0.9292  0.4644  0.8028
Pm  0.4259  0.4259  0.8293
Pm  0.5741  0.5741  0.1707
Y  0.5000  0.5000  0.5000
Ho  0.0000  0.0000  0.0000

Calculated values
- Calculated formation energy: 0.18 eV/atom
- Electronic total energy: -4.827 eV per atom
- ρ: 6.396 g/cm³

***

Entry 10:
La6PmY2Ho: optimized geometry, PBE.

a b c (Å): 6.7452 6.7452 9.0673
angles (deg): 102.10 102.10 63.69
Positions (direct):
La  0.0952  0.5396  0.1947
La  0.1355  0.1355  0.4304
La  0.4604  0.9048  0.8053
La  0.5396  0.0952  0.1947
La  0.8645  0.8645  0.5696
La  0.9048  0.4604  0.8053
Pm  0.5000  0.5000  0.5000
Y  0.4130  0.4130  0.8351
Y  0.5870  0.5870  0.1649
Ho  0.0000  0.0000  0.0000

Calculated values
- Calculated formation energy: 0.19 eV/atom
- Electronic total energy: -4.989 eV per atom
- ρ: 6.122 g/cm³

***

Entry 11:
LaPm5YHo2: optimized geometry, PBE.

a b c (Å): 10.4863 10.4863 10.7056
angles (deg): 90.00 90.00 148.41
Positions (direct):
La  0.0835  0.9165  0.5000
La  0.9165  0.0835  0.0000
Pm  0.0198  0.9802  0.7881
Pm  0.1137  0.8863  0.0710
Pm  0.2030  0.7970  0.7555
Pm  0.2186  0.7814  0.3609
Pm  0.4825  0.5175  0.0714
Pm  0.5175  0.4825  0.5714
Pm  0.7814  0.2186  0.8609
Pm  0.7970  0.2030  0.2555
Pm  0.8863  0.1137  0.5710
Pm  0.9802  0.0198  0.2881
Y  0.2995  0.7005  0.0590
Y  0.7005  0.2995  0.5590
Ho  0.3844  0.6156  0.3677
Ho  0.3869  0.6131  0.7807
Ho  0.6131  0.3869  0.2807
Ho  0.6156  0.3844  0.8677

Calculated values
- Calculated formation energy: 0.15 eV/atom
- Electronic total energy: -4.772 eV per atom
- ρ: 6.907 g/cm³

***

Entry 12:
LaPm2Y2Ho2: optimized geometry, PBE.

a b c (Å): 6.1755 6.1755 11.8867
angles (deg): 107.53 107.53 33.30
Positions (direct):
La  0.0000  0.0000  0.0000
Pm  0.3273  0.3273  0.4155
Pm  0.6727  0.6727  0.5845
Y  0.4504  0.4504  0.7253
Y  0.5496  0.5496  0.2747
Ho  0.2253  0.2253  0.8612
Ho  0.7747  0.7747  0.1388

Calculated values
- Calculated formation energy: 0.09 eV/atom
- Electronic total energy: -5.124 eV per atom
- ρ: 6.583 g/cm³